# 1
Material: PuTeBr2O6
Method: DFT, PBE-GGA
State: relaxed

```
data_PuTeBr2O6
_symmetry_space_group_name_H-M 'P -1'
_symmetry_Int_Tables_number 2
_symmetry_space_group_name_Hall '-P 1'
_cell_length_a 5.405
_cell_length_b 5.791
_cell_length_c 6.655
_cell_angle_alpha 74.11
_cell_angle_beta 88.26
_cell_angle_gamma 89.38
loop_
_atom_site_label
_atom_site_type_symbol
_atom_site_fract_x
_atom_site_fract_y
_atom_site_fract_z
Pu1 Pu 0.000 0.000 0.000
Te1 Te 0.500 0.500 0.000
Br1 Br 0.357 0.646 0.602
O1 O 0.107 0.067 0.735
O2 O 0.243 0.686 0.086
O3 O 0.281 0.230 0.064
```

Energy relative to the elements, uncorrected ... -1142.7 meV/atom
DOS(E_F) ... 2.88 states/eV/cell
Size of the total moment ... 2.06 μB/f.u.

# 2
Material: PuTl3Br2O6
Method: DFT, PBE-GGA
State: relaxed

```
data_PuTl3Br2O6
_symmetry_space_group_name_H-M 'C 1 2/m 1'
_symmetry_Int_Tables_number 12
_symmetry_space_group_name_Hall '-C 2y'
_cell_length_a 14.742
_cell_length_b 6.383
_cell_length_c 5.146
_cell_angle_alpha 90.00
_cell_angle_beta 108.83
_cell_angle_gamma 90.00
loop_
_atom_site_label
_atom_site_type_symbol
_atom_site_fract_x
_atom_site_fract_y
_atom_site_fract_z
Pu1 Pu 0.000 0.000 0.000
Tl1 Tl 0.000 0.500 0.500
Tl2 Tl 0.250 0.250 0.000
Br1 Br 0.177 0.500 0.433
O1 O 0.063 0.237 0.830
O2 O 0.109 0.000 0.294
```

Energy relative to the elements, uncorrected ... -1028.3 meV/atom
DOS(E_F) ... 18.70 states/eV/cell
Size of the total moment ... 0.19 μB/f.u.

# 3
Material: PuTl2Br4O2
Method: DFT, PBE-GGA
State: relaxed

```
data_PuTl2Br4O2
_symmetry_space_group_name_H-M 'C 1 2/m 1'
_symmetry_Int_Tables_number 12
_symmetry_space_group_name_Hall '-C 2y'
_cell_length_a 12.263
_cell_length_b 7.930
_cell_length_c 5.831
_cell_angle_alpha 90.00
_cell_angle_beta 91.94
_cell_angle_gamma 90.00
loop_
_atom_site_label
_atom_site_type_symbol
_atom_site_fract_x
_atom_site_fract_y
_atom_site_fract_z
Pu1 Pu 0.000 0.000 0.000
Tl1 Tl 0.157 0.500 0.757
Br1 Br 0.120 0.259 0.231
O1 O 0.100 0.000 0.788
```

Energy relative to the elements, uncorrected ... -1392.5 meV/atom
DOS(E_F) ... 13.29 states/eV/cell
Size of the total moment ... 2.00 μB/f.u.